Record 1
## SiIrRh2 (GGA-PBE)

Data for a geometry-optimized SiIrRh2 structure.

Its density of states at the Fermi level is 1.08 states/eV/atom. The value obtained for the volume is 13.95 A^3/atom. The value obtained for the uncorrected formation energy is -380 meV per atom. Its final energy is -61.0 eV per cell.

The space group is Imm2 (No. 44) and the conventional cell measures 2.8237, 4.3265 and 9.1349 Å, with angles of 90.00, 90.00 and 90.00 degrees. The distinct sites, in fractional coordinates, are Si at (0.0000, 0.0000, 0.0000), Ir at (0.0000, 0.5000, 0.2894), Rh at (0.0000, 0.0000, 0.5022) and Rh at (0.0000, 0.5000, 0.7097).

Record 2
## K3RbNa3 (GGA-PBE)

Data for a geometry-optimized K3RbNa3 structure.

The calculation puts the polymorph energy (0 for the lowest one) at 54 meV/atom. Its density of states at the Fermi level is 0.61 states/eV/atom. The value obtained for the volume is 66.45 A^3/atom. Its final energy is -15.2 eV per cell.

The space group is P2_1/m (No. 11) and the conventional cell measures 12.3568, 6.9960 and 12.4082 Å, with angles of 90.00, 119.86 and 90.00 degrees. The distinct sites, in fractional coordinates, are K at (0.0857, 0.2500, 0.2927), K at (0.2893, 0.7500, 0.7037), K at (0.2949, 0.7500, 0.0862), Rb at (0.1681, 0.2500, 0.8360), Na at (0.3075, 0.7500, 0.4031), Na at (0.4031, 0.2500, 0.5956) and Na at (0.4044, 0.2500, 0.3074).